[1]
An optimized crystal structure of Be3CBr. Source: the Alexandria database, functional PBE.

## Properties
Formation energy without anion corrections ... 2567 meV per atom
Offset from the most stable computed form ... 10.52 eV/f.u.
Space group ... Pm-3m, No. 221
Total energy ... -9.24 eV for the cell shown

a b c (Å): 4.231 4.231 4.231
angles (deg): 90.00 90.00 90.00
Fractional coordinates of all 5 atoms:
Be 0.000 0.000 0.500
Be 0.000 0.500 0.000
Be 0.500 0.000 0.000
C 0.500 0.500 0.500
Br 0.000 0.000 0.000

=====

[2]
An optimized crystal structure of RbH3. Source: the Alexandria database, functional PBE.

## Properties
Offset from the most stable computed form ... 0.04 eV/f.u.
Space group ... Cm, No. 8
Total energy ... -11.22 eV for the cell shown

a b c (Å): 4.078 4.078 4.836
angles (deg): 111.46 111.46 86.10
Fractional coordinates of all 4 atoms:
Rb 0.000 0.000 0.000
H 0.382 0.382 0.753
H 0.536 0.536 0.436
H 0.558 0.558 0.292

=====

[3]
An optimized crystal structure of La4TbY3. Source: the Alexandria database, functional PBE.

## Properties
Energy of formation ... 1.8 eV/f.u.
Space group ... C2/m, No. 12
Total energy ... -41.98 eV for the cell shown

a b c (Å): 12.628 12.628 6.402
angles (deg): 91.94 91.94 15.74
Fractional coordinates of all 8 atoms:
La 0.107 0.107 0.244
La 0.279 0.279 0.752
La 0.721 0.721 0.248
La 0.893 0.893 0.756
Tb 0.500 0.500 0.000
Y 0.000 0.000 0.500
Y 0.138 0.138 0.751
Y 0.862 0.862 0.249

=====

[4]
An optimized crystal structure of Ac5Sn3Pd3. Source: the Alexandria database, functional PBE.

## Properties
Energy of formation ... -5.3 eV/f.u.
Space group ... P-62m, No. 189
Total energy ... -53.39 eV for the cell shown

a b c (Å): 9.968 9.968 4.331
angles (deg): 90.00 90.00 120.00
Fractional coordinates of all 11 atoms:
Ac 0.000 0.245 0.000
Ac 0.245 0.000 0.000
Ac 0.333 0.667 0.000
Ac 0.667 0.333 0.000
Ac 0.755 0.755 0.000
Sn 0.000 0.515 0.500
Sn 0.485 0.485 0.500
Sn 0.515 0.000 0.500
Pd 0.000 0.674 0.000
Pd 0.326 0.326 0.000
Pd 0.674 0.000 0.000

=====

[5]
An optimized crystal structure of Ce12Pu2Rh5. Source: the Alexandria database, functional PBE.

## Properties
Energy of formation ... -5.8 eV/f.u.
Space group ... C2/m, No. 12
Total energy ... -142.47 eV for the cell shown

a b c (Å): 8.859 8.859 8.334
angles (deg): 106.81 106.81 50.84
Fractional coordinates of all 19 atoms:
Ce 0.008 0.008 0.326
Ce 0.107 0.566 0.395
Ce 0.108 0.618 0.956
Ce 0.382 0.892 0.044
Ce 0.434 0.893 0.605
Ce 0.490 0.490 0.715
Ce 0.510 0.510 0.285
Ce 0.566 0.107 0.395
Ce 0.618 0.108 0.956
Ce 0.892 0.382 0.044
Ce 0.893 0.434 0.605
Ce 0.992 0.992 0.674
Pu 0.275 0.725 0.500
Pu 0.725 0.275 0.500
Rh 0.000 0.000 0.000
Rh 0.253 0.253 0.016
Rh 0.292 0.292 0.694
Rh 0.708 0.708 0.306
Rh 0.747 0.747 0.984

=====

[6]
An optimized crystal structure of BaSr6Ca2. Source: the Alexandria database, functional PBE.

## Properties
Energy of formation ... 0.6 eV/f.u.
Offset from the most stable computed form ... 0.47 eV/f.u.
Space group ... C2/m, No. 12
Total energy ... -15.41 eV for the cell shown

a b c (Å): 10.340 10.340 14.099
angles (deg): 123.64 123.64 22.44
Fractional coordinates of all 9 atoms:
Ba 0.000 0.000 0.000
Sr 0.047 0.047 0.756
Sr 0.228 0.228 0.112
Sr 0.384 0.384 0.447
Sr 0.616 0.616 0.553
Sr 0.772 0.772 0.888
Sr 0.953 0.953 0.244
Ca 0.328 0.328 0.673
Ca 0.672 0.672 0.327

=====

[7]
An optimized crystal structure of BeReHg. Source: the Alexandria database, functional PBE.

## Properties
Energy of formation ... 1.8 eV/f.u.
Offset from the most stable computed form ... 0.09 eV/f.u.
Space group ... Fmm2, No. 42
Total energy ... -14.64 eV for the cell shown

a b c (Å): 6.876 6.672 2.758
angles (deg): 82.45 74.12 23.43
Fractional coordinates of all 3 atoms:
Be 0.000 0.000 0.000
Re 0.635 0.635 0.365
Hg 0.334 0.334 0.666

=====

[8]
An optimized crystal structure of NdSiF. Source: the Alexandria database, functional PBE.

## Properties
Formation energy without anion corrections ... -1783 meV per atom
Offset from the most stable computed form ... 0.00 eV/f.u.
Space group ... C2/m, No. 12
Total energy ... -34.82 eV for the cell shown

a b c (Å): 5.201 5.201 7.547
angles (deg): 92.53 92.53 45.07
Fractional coordinates of all 6 atoms:
Nd 0.221 0.221 0.264
Nd 0.779 0.779 0.736
Si 0.077 0.077 0.894
Si 0.923 0.923 0.106
F 0.324 0.324 0.579
F 0.676 0.676 0.421

=====

Question: The highest total energy belongs to which entry?
Answer: Be3CBr